The following is a DFT calculation (PBE with a Hubbard U) of crystalline CsMgMnF6 at its relaxed geometry.

Its symmetry is C2, No. 5. The electronic total energy comes out at -5.151 eV/atom.

POSCAR file:
```
CsMgMnF6
1.0
2.670 -4.610 0.000
2.670 4.610 0.000
0.000 0.000 6.547
Cs Mg Mn F
1 1 1 6
direct
0.000 0.000 0.000
0.334 0.666 0.500
0.667 0.333 0.500
0.388 0.009 0.334
0.392 0.377 0.666
0.623 0.608 0.334
0.624 0.011 0.664
0.989 0.376 0.336
0.991 0.612 0.666
```